[1]
A relaxed structure of Dy2NpAl2Ru5. Source: Alexandria, functional PBE-GGA.

```
Dy2NpAl2Ru5
1.0
-0.9478 3.2139 -0.1047
-8.2328 -2.2472 5.5505
5.2510 1.8265 8.5281
Al Dy Np Ru
4 4 2 10
Cartesian
-5.2285 -1.2805 8.0262
-2.4036 -0.6061 3.1535
-0.5782 0.1855 10.9251
2.2467 0.8598 6.0524
-4.6218 -1.1949 5.1615
-3.3219 -0.6434 10.3192
0.3401 0.2228 3.7594
1.6400 0.7742 8.9171
-1.4909 -0.2103 7.0393
0.0000 0.0000 0.0000
-3.9556 0.8268 7.5183
-4.5903 0.4834 2.7229
0.0260 1.9664 6.4556
-1.7591 1.2826 1.6249
-2.1705 1.5107 12.3489
-1.4732 1.6090 9.0566
2.1516 2.5202 4.2117
-7.1088 -0.1258 6.8220
3.1792 2.9191 7.1519
-2.4564 1.1842 4.9173
```

Values from the calculation:
Space group: P4/mbm
Formation energy from the elements: -0.446 eV/atom

=====

[2]
A relaxed structure of Dy3Al5O12. Source: Alexandria, functional PBE-GGA.

```
Dy3Al5O12
1.0
10.4850 0.0000 0.0000
-3.4950 9.8854 0.0000
-3.4950 -4.9427 8.5610
O Dy Al
48 12 20
Cartesian
3.3561 2.0852 5.2963
2.3115 5.0283 1.5363
-4.0590 1.3733 7.8669
1.6086 1.0728 0.1735
-1.1836 -1.3733 7.8669
4.7673 0.7868 1.7098
4.6786 6.3160 0.6940
2.6477 8.4975 1.0158
-3.9702 3.5587 5.8168
-0.5640 4.8571 1.5363
-0.9002 7.5998 2.5707
7.5540 3.5694 0.6940
-0.8473 -0.8977 4.9745
1.8864 3.8699 8.3875
7.4652 1.3840 2.7442
6.0898 0.8977 4.9745
-3.6339 6.7274 3.4382
7.5540 6.2304 0.8423
-0.4752 5.5399 4.4540
-4.7673 6.3267 5.8168
1.2723 0.5972 4.1070
4.3952 -2.6571 5.9903
4.6786 3.6550 0.8423
-1.8864 1.7847 5.1228
4.3423 5.8404 3.5864
1.8864 -2.0852 5.2963
8.2623 -1.3840 2.7442
-4.0590 -1.2877 7.7187
1.6086 7.0279 3.2647
5.3814 3.1580 3.4382
7.1289 -1.7847 5.1228
-2.5948 4.0450 3.5864
0.1389 2.8575 3.2647
0.8473 2.6571 5.9903
4.0590 0.0856 7.0247
2.2227 4.3455 4.4540
3.0198 5.7295 6.8512
-1.1836 1.2877 7.7187
-0.9002 1.3879 1.0158
0.8473 -3.5548 7.5452
1.1836 -0.0856 7.0247
-1.2723 4.1559 6.8512
4.3952 3.5548 7.5452
3.9702 -0.5972 4.1070
2.6477 2.2856 2.5707
0.1389 8.8126 0.1735
3.3561 -3.8699 8.3875
0.4752 -0.7868 1.7098
0.8738 4.9427 6.4207
6.1163 -0.6178 3.2104
0.8738 3.0892 1.0701
-0.8738 0.6178 3.2104
4.3688 4.3249 5.3506
2.6213 0.0000 2.1402
-2.6213 5.5605 5.3506
2.6213 1.8535 7.4909
2.6213 -1.8535 7.4909
-2.6213 0.0000 6.4207
6.1163 4.9427 2.1402
0.8738 6.7962 1.0701
3.4950 -2.4713 4.2805
0.8738 -0.6178 5.3506
6.1163 -2.4713 6.4207
4.3688 0.6178 5.3506
-3.4950 2.4713 4.2805
5.2425 0.0000 0.0000
2.6213 5.5605 3.2104
0.0000 0.0000 0.0000
-0.8738 -3.0892 7.4909
4.3688 8.0319 1.0701
4.3688 2.4713 2.1402
-2.6213 7.4140 2.1402
-0.8738 2.4713 6.4207
3.4950 4.9427 0.0000
1.7475 2.4713 4.2805
-0.8738 4.3249 3.2104
7.8638 1.8535 1.0701
-1.7475 -2.4713 4.2805
-4.3688 3.0892 7.4909
-1.7475 4.9427 0.0000
```

Values from the calculation:
E: -630.6 eV per cell
Space group: Ia-3d

=====

no.,density (g cm⁻³)
1,10.7
2,6.1